(1)
Below is a relaxed structure of BaSiSb2, with properties calculated at the PBEsol level.

Cell: 5.4256 5.4256 5.4256 Å, 60.00 60.00 60.00°
Element x y z (fractional)
Ba  0.0000  0.0000  0.0000
Si  0.7500  0.7500  0.7500
Sb  0.2500  0.2500  0.2500
Sb  0.5000  0.5000  0.5000

## Properties
Uncorrected formation energy   0.1 eV per formula unit
Crystal system   cubic
Space-group type   F-43m

(2)
Below is a relaxed structure of NaCuH3, with properties calculated at the PBEsol level.

Cell: 4.5699 5.3329 5.3672 Å, 81.16 83.69 83.44°
Element x y z (fractional)
Na  0.0000  0.0000  0.0000
Na  0.5000  0.5000  0.5000
Cu  0.2502  0.0125  0.4864
Cu  0.7498  0.9875  0.5136
H  0.0248  0.4778  0.0671
H  0.0416  0.7930  0.4175
H  0.4778  0.8772  0.7174
H  0.5222  0.1228  0.2826
H  0.9584  0.2070  0.5825
H  0.9752  0.5222  0.9329

## Properties
Offset from the most stable computed form   9.0 meV/atom
Crystal system   triclinic
Space-group type   P-1

(3)
Below is a relaxed structure of Y2C, with properties calculated at the PBEsol level.

Cell: 6.4161 6.4161 6.4161 Å, 32.24 32.24 32.24°
Element x y z (fractional)
Y  0.2399  0.2399  0.2399
Y  0.7601  0.7601  0.7601
C  0.5000  0.5000  0.5000

## Properties
Formation energy   -7.65 kcal/mol of atoms
Crystal system   trigonal
Space-group type   R-3m

(4)
Below is a relaxed structure of Li4P5HO15, with properties calculated at the PBEsol level.

Cell: 6.6044 7.2581 11.4090 Å, 72.69 83.47 85.59°
Element x y z (fractional)
Li  0.0723  0.1028  0.3233
Li  0.1184  0.1399  0.0501
Li  0.1815  0.1854  0.7642
Li  0.2220  0.2101  0.5121
Li  0.7780  0.7899  0.4879
Li  0.8185  0.8146  0.2358
Li  0.8816  0.8601  0.9499
Li  0.9277  0.8972  0.6767
P  0.1092  0.5225  0.1400
P  0.2101  0.6227  0.5504
P  0.2966  0.7398  0.2743
P  0.3583  0.7816  0.9395
P  0.4301  0.8463  0.6712
P  0.5699  0.1537  0.3288
P  0.6417  0.2184  0.0605
P  0.7034  0.2602  0.7257
P  0.7899  0.3773  0.4496
P  0.8908  0.4775  0.8600
H  0.4661  0.1979  0.9086
H  0.5339  0.8021  0.0914
O  0.0362  0.7676  0.5486
O  0.0669  0.3338  0.8827
O  0.0773  0.3121  0.1664
O  0.1287  0.8922  0.2451
O  0.1797  0.4107  0.5970
O  0.1919  0.9357  0.9296
O  0.2310  0.5460  0.2498
O  0.2569  0.9947  0.6571
O  0.2805  0.5774  0.0232
O  0.3342  0.6639  0.4154
O  0.3581  0.0988  0.3813
O  0.3841  0.6678  0.6238
O  0.4338  0.7319  0.8161
O  0.4451  0.1873  0.0100
O  0.4932  0.2119  0.7919
O  0.5068  0.7881  0.2081
O  0.5549  0.8127  0.9900
O  0.5662  0.2681  0.1839
O  0.6159  0.3322  0.3762
O  0.6419  0.9012  0.6187
O  0.6658  0.3361  0.5846
O  0.7195  0.4226  0.9768
O  0.7431  0.0053  0.3429
O  0.7690  0.4540  0.7502
O  0.8081  0.0643  0.0704
O  0.8203  0.5893  0.4030
O  0.8713  0.1078  0.7549
O  0.9227  0.6879  0.8336
O  0.9331  0.6662  0.1173
O  0.9638  0.2324  0.4514

## Properties
Crystal system   triclinic
Space-group type   P-1

(5)
Below is a relaxed structure of CaNiSb, with properties calculated at the PBEsol level.

Cell: 5.0562 5.0562 5.0562 Å, 139.28 130.35 66.08°
Element x y z (fractional)
Ca  0.0000  0.0000  0.0000
Ni  0.3555  0.3555  0.0000
Sb  0.6622  0.6622  0.0000

## Properties
Uncorrected formation energy   -0.4 eV per formula unit
Crystal system   orthorhombic
Space-group type   Imm2

(6)
Below is a relaxed structure of CaTm2S4, with properties calculated at the PBEsol level.

Cell: 6.5712 6.5712 12.9775 Å, 90.00 90.00 146.28°
Element x y z (fractional)
Ca  0.1129  0.8871  0.5000
Ca  0.8871  0.1129  0.0000
Tm  0.3603  0.6397  0.3118
Tm  0.3712  0.6288  0.6710
Tm  0.6288  0.3712  0.1710
Tm  0.6397  0.3603  0.8118
S  0.0088  0.9912  0.7338
S  0.2667  0.7333  0.1242
S  0.2776  0.7224  0.8598
S  0.4571  0.5429  0.4888
S  0.5429  0.4571  0.9888
S  0.7224  0.2776  0.3598
S  0.7333  0.2667  0.6242
S  0.9912  0.0088  0.2338

## Properties
Uncorrected formation energy   -15.0 eV per formula unit
Offset from the most stable computed form   13.2 meV/atom
Crystal system   orthorhombic
Space-group type   Cmc2_1

no.,final energy (eV per atom)
1,-4.232
2,-3.173
3,-8.094
4,-6.954
5,-4.419
6,-6.346